Entry 1:
Material: LaPaCo
Method: DFT, PBE
State: relaxed

Values from the calculation:
**Relative energy among the computed polymorphs**: 234.9 meV per atom
**Density**: 9.4 g cm⁻³
**Crystal system**: hexagonal

The structure in CIF format:
```
data_LaPaCo
_cell_length_a 4.2489
_cell_length_b 4.2489
_cell_length_c 4.8397
_cell_angle_alpha 90.00
_cell_angle_beta 90.00
_cell_angle_gamma 120.00
_symmetry_space_group_name_H-M 'P -6 m 2'
_symmetry_Int_Tables_number 187
_symmetry_space_group_name_Hall 'P -6 2'
loop_
_atom_site_label
_atom_site_type_symbol
_atom_site_fract_x
_atom_site_fract_y
_atom_site_fract_z
La1 La 0.0000 0.0000 0.0000
Pa1 Pa 0.6667 0.3333 0.5000
Co1 Co 0.3333 0.6667 0.5000
```

Entry 2:
Material: ZnCd2F6
Method: DFT, PBE
State: relaxed

Values from the calculation:
**Uncorrected formation energy**: -2230 meV/atom
**Density**: 5.1 g cm⁻³
**Crystal system**: tetragonal

The structure in CIF format:
```
data_ZnCd2F6
_cell_length_a 5.0703
_cell_length_b 5.0703
_cell_length_c 10.2909
_cell_angle_alpha 90.00
_cell_angle_beta 90.00
_cell_angle_gamma 90.00
_symmetry_space_group_name_H-M 'P 42/m n m'
_symmetry_Int_Tables_number 136
_symmetry_space_group_name_Hall '-P 4n 2n'
loop_
_atom_site_label
_atom_site_type_symbol
_atom_site_fract_x
_atom_site_fract_y
_atom_site_fract_z
Zn1 Zn 0.0000 0.0000 0.0000
Cd1 Cd 0.0000 0.0000 0.3341
F1 F 0.1871 0.1871 0.1550
F2 F 0.2112 0.2112 0.5000
```

Entry 3:
Material: MgPaTlAu
Method: DFT, PBE
State: relaxed

Values from the calculation:
**Energy**: -4.314 eV per atom
**Density**: 11.7 g cm⁻³
**Crystal system**: cubic

The structure in CIF format:
```
data_MgPaTlAu
_cell_length_a 7.1973
_cell_length_b 7.1973
_cell_length_c 7.1973
_cell_angle_alpha 90.00
_cell_angle_beta 90.00
_cell_angle_gamma 90.00
_symmetry_space_group_name_H-M 'F -4 3 m'
_symmetry_Int_Tables_number 216
_symmetry_space_group_name_Hall 'F -4 2 3'
loop_
_atom_site_label
_atom_site_type_symbol
_atom_site_fract_x
_atom_site_fract_y
_atom_site_fract_z
Mg1 Mg 0.0000 0.0000 0.0000
Pa1 Pa 0.0000 0.0000 0.5000
Tl1 Tl 0.2500 0.2500 0.7500
Au1 Au 0.2500 0.2500 0.2500
```

Entry 4:
Material: Ho4PbSe2
Method: DFT, PBE
State: relaxed

Values from the calculation:
**Uncorrected formation energy**: -1089 meV/atom
**Density**: 9.0 g cm⁻³
**Crystal system**: trigonal

The structure in CIF format:
```
data_Ho4PbSe2
_cell_length_a 3.8977
_cell_length_b 3.8977
_cell_length_c 43.2034
_cell_angle_alpha 90.00
_cell_angle_beta 90.00
_cell_angle_gamma 120.00
_symmetry_space_group_name_H-M 'R -3 m'
_symmetry_Int_Tables_number 166
_symmetry_space_group_name_Hall '-R 3 2"'
loop_
_atom_site_label
_atom_site_type_symbol
_atom_site_fract_x
_atom_site_fract_y
_atom_site_fract_z
Ho1 Ho 0.0000 0.0000 0.1348
Ho2 Ho 0.0000 0.0000 0.2806
Pb1 Pb 0.0000 0.0000 0.0000
Se1 Se 0.0000 0.0000 0.4256
```

Entry 5:
Material: PdRhO2F
Method: DFT, PBE
State: relaxed

Values from the calculation:
**Uncorrected formation energy**: 209 meV/atom
**Density**: 6.6 g cm⁻³
**Crystal system**: tetragonal

The structure in CIF format:
```
data_PdRhO2F
_cell_length_a 4.0243
_cell_length_b 4.0243
_cell_length_c 4.0493
_cell_angle_alpha 90.00
_cell_angle_beta 90.00
_cell_angle_gamma 90.00
_symmetry_space_group_name_H-M 'P 4/m m m'
_symmetry_Int_Tables_number 123
_symmetry_space_group_name_Hall '-P 4 2'
loop_
_atom_site_label
_atom_site_type_symbol
_atom_site_fract_x
_atom_site_fract_y
_atom_site_fract_z
Pd1 Pd 0.0000 0.0000 0.0000
Rh1 Rh 0.5000 0.5000 0.5000
O1 O 0.0000 0.5000 0.0000
F1 F 0.0000 0.0000 0.5000
```

Entry 6:
Material: SiTcPO2
Method: DFT, PBE
State: relaxed

Values from the calculation:
**Uncorrected formation energy**: -426 meV/atom
**Relative energy among the computed polymorphs**: 280.6 meV per atom
**Density**: 4.2 g cm⁻³
**Crystal system**: tetragonal

The structure in CIF format:
```
data_SiTcPO2
_cell_length_a 3.7451
_cell_length_b 3.7451
_cell_length_c 5.2887
_cell_angle_alpha 90.00
_cell_angle_beta 90.00
_cell_angle_gamma 90.00
_symmetry_space_group_name_H-M 'P 4/m m m'
_symmetry_Int_Tables_number 123
_symmetry_space_group_name_Hall '-P 4 2'
loop_
_atom_site_label
_atom_site_type_symbol
_atom_site_fract_x
_atom_site_fract_y
_atom_site_fract_z
Si1 Si 0.0000 0.0000 0.0000
Tc1 Tc 0.5000 0.5000 0.5000
P1 P 0.5000 0.5000 0.0000
O1 O 0.0000 0.5000 0.5000
```

> What is the formula in the sixth record?

SiTcPO2

> What is the density in the fourth record?

9.0 g cm⁻³

Copy entry 6 word for word.
Material: SiTcPO2
Method: DFT, PBE
State: relaxed

Values from the calculation:
**Uncorrected formation energy**: -426 meV/atom
**Relative energy among the computed polymorphs**: 280.6 meV per atom
**Density**: 4.2 g cm⁻³
**Crystal system**: tetragonal

The structure in CIF format:
```
data_SiTcPO2
_cell_length_a 3.7451
_cell_length_b 3.7451
_cell_length_c 5.2887
_cell_angle_alpha 90.00
_cell_angle_beta 90.00
_cell_angle_gamma 90.00
_symmetry_space_group_name_H-M 'P 4/m m m'
_symmetry_Int_Tables_number 123
_symmetry_space_group_name_Hall '-P 4 2'
loop_
_atom_site_label
_atom_site_type_symbol
_atom_site_fract_x
_atom_site_fract_y
_atom_site_fract_z
Si1 Si 0.0000 0.0000 0.0000
Tc1 Tc 0.5000 0.5000 0.5000
P1 P 0.5000 0.5000 0.0000
O1 O 0.0000 0.5000 0.5000
```

> Among the records above, which one has the lowest density?

SiTcPO2